[1]
The following is a PBE-GGA calculation of a relaxed structure of PaSnO2, from Alexandria via LeMat-Bulk.

Energy relative to the elements, uncorrected, meV per atom: -2232
Calculated total energy, eV/cell: -32.344
SG: R-3m (166)

Lattice parameters (Å, degrees): 3.669 3.669 7.559 75.96 75.96 60.00
Sites, in units of the cell vectors:
1 Pa 0.500 0.500 0.500
2 Sn 0.000 0.000 0.000
3 O 0.128 0.128 0.615
4 O 0.872 0.872 0.385


[2]
The following is a PBE-GGA calculation of a relaxed structure of PaSnO6, from Alexandria via LeMat-Bulk.

Energy relative to the elements, uncorrected, meV per atom: -1777
Calculated total energy, eV/cell: -57.465
SG: C2/m (12)

Lattice parameters (Å, degrees): 4.245 5.584 5.699 69.94 68.14 67.66
Sites, in units of the cell vectors:
1 Pa 0.000 0.000 0.000
2 Sn 0.500 0.500 0.500
3 O 0.934 0.645 0.488
4 O 0.489 0.201 0.821
5 O 0.760 0.240 0.240
6 O 0.511 0.799 0.179
7 O 0.066 0.355 0.512
8 O 0.240 0.760 0.760


[3]
The following is a PBE-GGA calculation of a relaxed structure of PaSnO3, from Alexandria via LeMat-Bulk.

Energy relative to the elements, uncorrected, meV per atom: -2399
Calculated total energy, eV/cell: -40.370
SG: Pm-3m (221)

Lattice parameters (Å, degrees): 4.402 4.402 4.402 90.00 90.00 90.00
Sites, in units of the cell vectors:
1 Pa 0.000 0.000 0.000
2 Sn 0.500 0.500 0.500
3 O 0.000 0.500 0.000
4 O 0.000 0.000 0.500
5 O 0.500 0.000 0.000


Question: What is the calculated total energy in the second record?
Answer: -57.465 eV/cell


Question: Which formula does entry 3 have?
Answer: PaSnO3


Question: Among the records above, which one has the lowest energy relative to the elements, uncorrected?
Answer: PaSnO3


Question: calculated total energy of number 1 (PaSnO2)?
Answer: -32.344 eV/cell